#w
The following is a DFT calculation (PBE) of crystalline PmGa3Cu at its relaxed geometry.

Calculated values
N(E_F): 6.45 states/eV/cell
total magnetization: 0.00 μB per formula unit

abc: 14.1255 4.4062 6.5131
angles: 90.00 109.33 90.00
Closest atoms and distances in Å follow each position.
Space group C2/m (No. 12)
Symmetry-distinct sites (fractional):
Pm: 0.1355 0.0000 0.4913  8 Ga 3.09-3.36, 4 Cu 3.17-3.21
Ga: 0.0665 0.0000 0.9013  2 Cu 2.52, 4 Ga 2.60-2.75
Ga: 0.1290 0.5000 0.1552  5 Ga 2.72-2.94, 2 Cu 2.78-2.80
Ga: 0.2338 0.5000 0.8470  1 Cu 2.63, 6 Ga 2.75-2.94
Cu: 0.0361 0.5000 0.7035  1 Cu 2.51, 5 Ga 2.52-2.80

***

#x
The following is a DFT calculation (PBE) of crystalline PmGa3Cu at its relaxed geometry.

Calculated values
N(E_F): 2.84 states/eV/cell
total magnetization: 0.00 μB per formula unit

abc: 5.9492 5.9586 6.0441
angles: 90.00 119.38 90.00
Closest atoms and distances in Å follow each position.
Space group Cm (No. 8)
Symmetry-distinct sites (fractional):
Pm: 0.0000 0.0000 0.0000  12 Ga 3.13-3.38, 4 Cu 3.28-3.29
Ga: 0.0016 0.2493 0.5014  2 Cu 2.45, 2 Ga 2.67
Ga: 0.4085 0.0000 0.8147  1 Cu 2.37
Cu: 0.1325 0.5000 0.2644  5 Ga 2.37-2.45

***

Which is most stable, and by how much? #x, by 0.146 eV/atom.